No. 1
The following is a PBE calculation of a relaxed structure of TiGe3Pt, from Alexandria via LeMat-Bulk.

```
TiGe3Pt
1.0
4.856 0.000 0.000
0.000 4.856 0.000
0.000 0.000 4.856
Ti Ge Pt
1 3 1
direct
0.000 0.000 0.000
0.000 0.500 0.500
0.500 0.000 0.500
0.500 0.500 0.000
0.500 0.500 0.500
```

Output
Formation enthalpy at 0 K   0.632 eV per atom



No. 2
The following is a PBE calculation of a relaxed structure of Tb3Al3Cu, from Alexandria via LeMat-Bulk.

```
Tb3Al3Cu
1.0
5.378 -2.224 0.000
5.378 2.224 0.000
-5.077 0.000 13.518
Tb Al Cu
6 6 2
direct
0.034 0.034 0.383
0.099 0.099 0.920
0.249 0.249 0.229
0.751 0.751 0.771
0.901 0.901 0.080
0.966 0.966 0.617
0.361 0.361 0.460
0.389 0.389 0.924
0.453 0.453 0.761
0.547 0.547 0.239
0.611 0.611 0.076
0.639 0.639 0.540
0.249 0.249 0.601
0.751 0.751 0.399
```

Output
Formation enthalpy at 0 K   -0.384 eV per atom



No. 3
The following is a PBE calculation of a relaxed structure of Tb4RhS2Cl, from Alexandria via LeMat-Bulk.

```
Tb4RhS2Cl
1.0
6.947 0.000 0.000
0.000 3.865 0.000
-2.209 0.000 6.695
Tb Rh S Cl
4 1 2 1
direct
0.232 0.000 0.235
0.235 0.500 0.748
0.765 0.500 0.252
0.768 0.000 0.765
0.000 0.000 0.500
0.000 0.500 0.000
0.500 0.000 0.000
0.500 0.500 0.500
```

Output
Formation energy from raw total energies   -1.507 eV per atom